[1]
Below is a geometry-optimized BaGe2ICl structure, with properties calculated at the PBE level.

Lattice parameters (Å, degrees): 5.038 7.085 5.038 90.00 90.00 90.00
Atoms (fractional coordinates):
Ge 0.000 0.000 0.500
Ba 0.500 0.500 0.500
Ge 0.500 0.000 0.000
I 0.000 0.500 0.000
Cl 0.000 0.000 0.000

## Properties
As for the formation energy from raw total energies: -0.19 eV per atom. The mass density is 4.11 g cm⁻³.

***

[2]
Below is a geometry-optimized SnH2O3 structure, with properties calculated at the PBE level.

Lattice parameters (Å, degrees): 3.269 5.818 7.223 70.56 103.08 90.00
Atoms (fractional coordinates):
O 0.403 0.425 0.806
H 0.350 0.346 0.701
O 0.738 0.823 0.477
H 0.001 0.740 0.001
O 0.597 0.575 0.194
Sn 0.341 0.790 0.682
O 0.928 0.842 0.855
O 0.262 0.177 0.523
O 0.072 0.158 0.145
H 0.999 0.260 0.999
H 0.650 0.654 0.299
Sn 0.659 0.210 0.318

## Properties
As for the total DFT energy (no corrections): -5.540 eV per atom. The mass density is 4.46 g cm⁻³.